Record 1
ZrScCS | the Open Quantum Materials Database | PBE | relaxed; total magnetic moment = 0.00 μB per formula unit; energy relative to the lowest polymorph listed for this composition = 0.010 eV/atom; calculated density = 4.8 g/cm3
1.0
3.432 0.000 0.000
-1.716 2.972 0.000
0.000 0.000 12.118
Zr Sc C S
2 2 2 2
Cartesian
0.000 0.000 1.837
0.000 0.000 10.282
1.716 0.991 4.315
1.716 0.991 7.804
0.000 1.981 3.037
0.000 1.981 9.081
0.000 0.000 6.059
1.716 0.991 0.000

***

Record 2
KNaPd | the Open Quantum Materials Database | PBE | relaxed; calculated density = 2.9 g/cm3; calculated total energy = -2.160 eV/atom
1.0
0.000 3.636 3.636
3.636 0.000 3.636
3.636 3.636 0.000
K Na Pd
1 1 1
Cartesian
0.000 0.000 0.000
5.454 5.454 5.454
1.818 1.818 1.818

***

Record 3
Cs2WS4 | the Open Quantum Materials Database | PBE | relaxed; total magnetic moment = 0.00 μB per formula unit; calculated density = 3.9 g/cm3; calculated total energy = -5.501 eV/atom
1.0
10.288 0.000 0.000
0.000 7.343 0.000
0.000 0.000 13.084
Cs W S
8 4 16
Cartesian
0.331 1.836 2.263
1.560 5.508 5.223
3.584 1.836 11.765
4.813 5.508 8.805
5.475 1.836 4.279
6.704 5.508 1.319
8.728 1.836 7.861
9.957 5.508 10.821
2.488 5.508 1.023
2.656 1.836 7.565
7.632 5.508 5.519
7.800 1.836 12.061
0.299 5.508 1.333
1.773 0.041 8.496
1.773 3.631 8.496
2.176 1.836 5.407
2.968 5.508 11.949
3.371 3.713 1.954
3.371 7.303 1.954
4.844 1.836 7.875
5.443 5.508 5.209
6.917 0.041 11.130
6.917 3.631 11.130
7.319 1.836 1.135
8.112 5.508 7.677
8.515 3.713 4.588
8.515 7.303 4.588
9.988 1.836 11.751